Below is an optimized crystal structure of LiAlCo2, with properties calculated at the PBE level.

Computed properties:
Energy of formation from the pure elements ... -0.10 eV per atom
M_tot ... 1.899 μB/cell
Crystal system ... orthorhombic
DOS at the Fermi energy ... 2.74 states/eV/f.u.
Final energy ... -20.27 eV/cell
Space group ... Imm2

Lattice parameters (Å, degrees): 4.8981 4.8981 4.8981 147.66 130.55 60.33
With the nearest neighbours (Å) after each atom.
Positions (direct):
Co 0.0090 0.0090 0.0000  2 Co 2.37, 4 Li 2.47, 2 Al 2.49
Co 0.2374 0.7374 0.5000  2 Co 2.37, 4 Al 2.47, 2 Li 2.54
Al 0.7627 0.2627 0.5000  6 Co 2.47-2.49, 2 Li 2.68, 2 Al 2.73
Li 0.4908 0.4908 0.0000  6 Co 2.47-2.54, 2 Al 2.68, 2 Li 2.73